Entry 1:
Computed, not measured: a relaxed structure of BaZrB2 at the PBE level of DFT.

## Properties
For the energy of formation from the pure elements, the calculation gives 1.114 eV per atom. The energy relative to the lowest polymorph listed for this composition comes out at 256 meV per atom.

a b c (Å): 6.6721 6.6721 6.6721
angles (deg): 90.00 90.00 90.00
Space group Fm-3m (No. 225)
Inequivalent atoms, fractional coordinates:
Ba: 0.0000 0.0000 0.0000 (multiplicity 4)
Zr: 0.0000 0.0000 0.5000 (multiplicity 4)
B: 0.2500 0.2500 0.2500 (multiplicity 8)

***

Entry 2:
Computed, not measured: a relaxed structure of Cs2MoW at the PBE level of DFT.

## Properties
For the energy of formation from the pure elements, the calculation gives 1.865 eV per atom. The energy relative to the lowest polymorph listed for this composition comes out at 0 meV per atom.

a b c (Å): 14.1892 14.1892 4.6364
angles (deg): 90.00 90.00 90.00
Space group I-42d (No. 122)
Inequivalent atoms, fractional coordinates:
Cs: 0.0074 0.7500 0.1250 (multiplicity 8)
Mo: 0.0000 0.0000 0.0000 (multiplicity 4)
W: 0.0000 0.0000 0.5000 (multiplicity 4)

***

Entry 3:
Computed, not measured: a relaxed structure of HfPtO2 at the PBE level of DFT.

## Properties
The energy relative to the lowest polymorph listed for this composition comes out at 0 meV per atom. The calculation puts the formation energy (no corrections) at -7.72 eV per formula unit.

a b c (Å): 3.4033 3.4033 16.8792
angles (deg): 90.00 90.00 120.00
Space group R-3m (No. 166, hexagonal axes)
Inequivalent atoms, fractional coordinates:
Hf: 0.0000 0.0000 0.0000 (multiplicity 3)
Pt: 0.0000 0.0000 0.5000 (multiplicity 3)
O: 0.0000 0.0000 0.3796 (multiplicity 6)

***

Entry 4:
Computed, not measured: a relaxed structure of K3NaCd3 at the PBE level of DFT.

## Properties
For the energy of formation from the pure elements, the calculation gives -0.048 eV per atom.

a b c (Å): 13.3008 5.2110 17.6555
angles (deg): 90.00 110.48 90.00
Space group C2/m (No. 12)
Inequivalent atoms, fractional coordinates:
K: 0.0180 0.0000 0.3738 (multiplicity 4)
K: 0.1136 0.0000 0.9259 (multiplicity 4)
K: 0.2504 0.0000 0.2259 (multiplicity 4)
Na: 0.2349 0.5000 0.4094 (multiplicity 4)
Cd: 0.0454 0.5000 0.2273 (multiplicity 4)
Cd: 0.0940 0.5000 0.0767 (multiplicity 4)
Cd: 0.1164 0.5000 0.5428 (multiplicity 4)

***

Entry 5:
Computed, not measured: a relaxed structure of SrCr2Sb at the PBE level of DFT.

## Properties
The calculation puts the formation energy (no corrections) at 0.78 eV per formula unit.

a b c (Å): 3.3391 4.2593 6.8430
angles (deg): 90.00 94.55 90.00
Space group Pm (No. 6)
Inequivalent atoms, fractional coordinates:
Sr: 0.0000 0.0000 0.0000 (multiplicity 1)
Cr: 0.4340 0.0000 0.4455 (multiplicity 1)
Cr: 0.8958 0.5000 0.3876 (multiplicity 1)
Sb: 0.4511 0.5000 0.7142 (multiplicity 1)

***

Entry 6:
Computed, not measured: a relaxed structure of PmSb2Pd3 at the PBE level of DFT.

## Properties
The calculation puts the formation energy (no corrections) at -4.63 eV per formula unit.

a b c (Å): 17.5470 4.3381 10.4226
angles (deg): 90.00 107.16 90.00
Space group C2/m (No. 12)
Inequivalent atoms, fractional coordinates:
Pm: 0.0000 0.0000 0.0000 (multiplicity 2)
Pm: 0.1567 0.0000 0.7014 (multiplicity 4)
Sb: 0.0383 0.5000 0.7841 (multiplicity 4)
Sb: 0.1393 0.5000 0.4545 (multiplicity 4)
Sb: 0.1972 0.0000 0.1279 (multiplicity 4)
Pd: 0.0000 0.5000 0.5000 (multiplicity 2)
Pd: 0.0424 0.0000 0.3363 (multiplicity 4)
Pd: 0.1165 0.5000 0.1899 (multiplicity 4)
Pd: 0.1785 0.5000 0.9660 (multiplicity 4)
Pd: 0.2153 0.0000 0.3891 (multiplicity 4)

***

Entry 7:
Computed, not measured: a relaxed structure of YAlZnCu6 at the PBE level of DFT.

## Properties
For the energy of formation from the pure elements, the calculation gives 0.113 eV per atom.

a b c (Å): 6.8700 8.7911 9.5894
angles (deg): 90.00 90.00 90.00
Space group Imma (No. 74)
Inequivalent atoms, fractional coordinates:
Y: 0.0000 0.2500 0.2171 (multiplicity 4)
Al: 0.0000 0.0000 0.0000 (multiplicity 4)
Zn: 0.2500 0.2500 0.7500 (multiplicity 4)
Cu: 0.0000 0.2500 0.5245 (multiplicity 4)
Cu: 0.0000 0.2500 0.9194 (multiplicity 4)
Cu: 0.1819 0.0006 0.3724 (multiplicity 16)

***

Entry 8:
Computed, not measured: a relaxed structure of Y11Cd9Co4 at the PBE level of DFT.

## Properties
For the energy of formation from the pure elements, the calculation gives -0.300 eV per atom.

a b c (Å): 14.4320 21.6356 3.6095
angles (deg): 90.00 90.00 90.00
Space group Cmmm (No. 65)
Inequivalent atoms, fractional coordinates:
Y: 0.0000 0.0000 0.0000 (multiplicity 2)
Y: 0.0000 0.1607 0.0000 (multiplicity 4)
Y: 0.0000 0.3716 0.0000 (multiplicity 4)
Y: 0.1903 0.5000 0.0000 (multiplicity 4)
Y: 0.2463 0.3348 0.0000 (multiplicity 8)
Cd: 0.0000 0.5000 0.5000 (multiplicity 2)
Cd: 0.1056 0.2606 0.5000 (multiplicity 8)
Cd: 0.1469 0.0710 0.5000 (multiplicity 8)
Co: 0.1444 0.4016 0.5000 (multiplicity 8)

***

Entry 9:
Computed, not measured: a relaxed structure of Dy6PaTe12 at the PBE level of DFT.

## Properties
The calculation puts the formation energy (no corrections) at -21.84 eV per formula unit.

a b c (Å): 13.5081 13.5081 12.6637
angles (deg): 90.00 90.00 120.00
Space group R-3 (No. 148, hexagonal axes)
Inequivalent atoms, fractional coordinates:
Dy: 0.0432 0.2697 0.1325 (multiplicity 18)
Pa: 0.0000 0.0000 0.5000 (multiplicity 3)
Te: 0.0289 0.2111 0.8893 (multiplicity 18)
Te: 0.0437 0.2014 0.3703 (multiplicity 18)

***

Entry 10:
Computed, not measured: a relaxed structure of Cs2TlIn2I7 at the PBE level of DFT.

## Properties
The calculation puts the formation energy (no corrections) at -9.99 eV per formula unit.

a b c (Å): 8.6117 8.6078 16.3587
angles (deg): 90.00 105.17 90.00
Space group C2/m (No. 12)
Inequivalent atoms, fractional coordinates:
Cs: 0.1772 0.0000 0.3589 (multiplicity 4)
Tl: 0.0000 0.0000 0.0000 (multiplicity 2)
In: 0.0986 0.5000 0.1995 (multiplicity 4)
I: 0.0000 0.5000 0.0000 (multiplicity 2)
I: 0.1572 0.2502 0.8121 (multiplicity 8)
I: 0.1960 0.5000 0.3951 (multiplicity 4)